No. 1
! Mg4Pd3Au3 PBE relaxed; values from VASP
&SYSTEM
  ibrav = 0, nat = 20, ntyp = 3
/
ATOMIC_SPECIES
Au 196.97 Au.upf
Mg 24.30 Mg.upf
Pd 106.42 Pd.upf
CELL_PARAMETERS angstrom
-4.963 6.063 0.046
-2.851 -5.675 -4.589
0.861 -2.725 7.296
ATOMIC_POSITIONS angstrom
Au -1.572 -0.480 4.915
Au -1.474 -2.052 0.109
Au -3.628 -3.791 -3.092
Au -4.518 2.183 3.452
Au -5.182 -0.022 -0.098
Au -4.487 -2.852 2.971
Mg -2.646 -4.756 2.007
Mg 0.226 -0.716 1.915
Mg -4.225 -2.659 0.172
Mg -4.133 2.476 0.676
Mg 0.657 -2.078 5.563
Mg -2.800 0.179 2.466
Mg -2.729 -1.246 -2.282
Mg -5.210 1.786 -2.260
Pd -2.466 0.514 -0.218
Pd -2.436 -4.521 -0.700
Pd -5.382 -1.858 -2.163
Pd -1.772 -2.316 2.850
Pd -5.479 -0.286 2.644
Pd -3.326 1.453 5.844
! * formation energy from the elements: -0.44 eV per atom
! * Fermi-level density of states: 7.61 states/eV/cell
! * E: -72.335 eV per cell

---

No. 2
! MgPd7Au4 PBE relaxed; values from VASP
&SYSTEM
  ibrav = 0, nat = 12, ntyp = 3
/
ATOMIC_SPECIES
Pd 106.42 Pd.upf
Au 196.97 Au.upf
Mg 24.30 Mg.upf
CELL_PARAMETERS angstrom
4.841 0.000 0.000
2.420 8.733 -0.364
2.420 0.124 5.007
ATOMIC_POSITIONS angstrom
Pd 4.841 4.050 0.989
Pd 4.841 4.807 3.655
Pd 2.420 0.000 0.000
Pd 2.420 0.773 2.572
Pd 7.261 8.084 2.071
Pd 7.261 3.415 3.335
Pd 2.420 5.442 1.309
Au 4.841 2.055 2.882
Au 4.841 6.803 1.762
Au 7.261 6.153 4.047
Au 2.420 2.704 0.596
Mg 0.000 0.000 0.000
! * excess energy over the best structure of this formula in the dataset: 211 meV/atom
! * formation energy from the elements: -0.01 eV per atom
! * Fermi-level density of states: 10.57 states/eV/cell
! * E: -51.215 eV per cell